A plane-wave DFT calculation with PBE-GGA was carried out for crystalline Y8Ge3Te4Pb at its relaxed geometry.

Cell and atoms, written as POSCAR:
```
Y8Ge3Te4Pb
1.0
4.2990 2.4820 7.1367
-4.2990 2.4820 7.1367
0.0000 -4.9640 7.1367
Y Ge Te Pb
8 3 4 1
Direct
0.2314 0.7473 0.7473
0.2395 0.2395 0.2395
0.2527 0.2527 0.7686
0.2527 0.7686 0.2527
0.7473 0.2314 0.7473
0.7473 0.7473 0.2314
0.7605 0.7605 0.7605
0.7686 0.2527 0.2527
0.0000 0.0000 0.5000
0.0000 0.5000 0.0000
0.5000 0.0000 0.0000
0.0000 0.0000 0.0000
0.0000 0.5000 0.5000
0.5000 0.0000 0.5000
0.5000 0.5000 0.0000
0.5000 0.5000 0.5000
```

Its density of states at the Fermi level is 2.5 states/eV/f.u. Its total magnetic moment is 0.00 μB/f.u. The calculation puts the total energy at -100.1 eV for the cell shown.